The following is a DFT calculation (PBE+U) of a geometry-optimized TiMn2O4 structure.

Cell lengths 6.2430, 6.2430, 8.7056 Å; angles 90.00, 90.00, 90.00 degrees
Space group P4_322 (No. 95)
Asymmetric unit:
Ti: 0.0000 0.2548 0.0000 [4 per cell]
Mn: 0.2445 0.5000 0.2500 [4 per cell]
Mn: 0.2483 0.2483 0.6250 [4 per cell]
O: 0.0145 0.2292 0.2279 [8 per cell]
O: 0.2279 0.4624 0.9958 [8 per cell]

## Properties
The value obtained for the energy above the most stable polymorph in this dataset is 0.0 meV/atom. The calculation puts the total DFT energy (no corrections) at -8.3684 eV per atom.